No. 1
{"formula": "MoHPtRh2", "functional": "GGA-PBE", "state": "relaxed", "cell": [[3.932, 0.000, 0.000], [0.000, 3.932, 0.000], [0.000, 0.000, 3.996]], "species": ["Mo", "H", "Pt", "Rh", "Rh"], "fractional_positions": [[0.000, 0.000, 0.500], [0.000, 0.000, 0.000], [0.500, 0.500, 0.500], [0.500, 0.000, 0.000], [0.000, 0.500, 0.000]], "space_group": "No. 123", "magnetic_moment_mub_per_cell": 0.63, "e_above_lowest_polymorph_mev_per_atom": 0, "rho_g_cm3": 13.4, "energy_ev_per_cell": -35.3}



No. 2
{"formula": "Li4Mg3Ag4", "functional": "GGA-PBE", "state": "relaxed", "cell": [[2.979, 0.026, 0.043], [0.042, 4.520, -0.044], [1.700, 2.110, 14.474]], "species": ["Li", "Mg", "Ag", "Li", "Li", "Ag", "Li", "Mg", "Ag", "Ag", "Mg"], "fractional_positions": [[0.659, 0.732, 0.535], [0.834, 0.364, 0.281], [0.340, 0.452, 0.099], [0.434, 0.091, 0.816], [0.566, 0.909, 0.184], [0.660, 0.549, 0.901], [0.341, 0.268, 0.465], [0.166, 0.636, 0.719], [0.198, 0.821, 0.365], [0.802, 0.179, 0.635], [0.000, 0.000, 0.000]], "space_group": "No. 2", "magnetic_moment_mub_per_cell": 0.00, "e_above_lowest_polymorph_mev_per_atom": 31, "formation_enthalpy_0k_ev_per_atom": -0.16, "rho_g_cm3": 4.5, "energy_ev_per_cell": -25.6}



No. 3
{"formula": "La5Bi2N", "functional": "GGA-PBE", "state": "relaxed", "cell": [[5.997, 0.000, 0.000], [-2.998, 5.160, 0.000], [0.000, 0.000, 16.116]], "species": ["La", "Bi", "N", "N", "La", "La", "La", "La", "La", "Bi", "La", "Bi", "La", "La", "Bi", "La"], "fractional_positions": [[0.408, 0.817, 0.364], [0.251, 0.501, 0.554], [0.751, 0.502, 0.750], [0.249, 0.498, 0.250], [0.910, 0.820, 0.636], [0.251, 0.502, 0.750], [0.408, 0.817, 0.136], [0.910, 0.820, 0.864], [0.592, 0.183, 0.636], [0.749, 0.499, 0.054], [0.090, 0.180, 0.364], [0.749, 0.499, 0.446], [0.090, 0.180, 0.136], [0.592, 0.183, 0.864], [0.251, 0.501, 0.946], [0.749, 0.498, 0.250]], "space_group": "No. 63", "magnetic_moment_mub_per_cell": 0.00, "rho_g_cm3": 7.5, "formation_energy_uncorrected_mev_per_atom": -701, "energy_ev_per_cell": -92.7}



No. 4
{"formula": "Sm4DyHo3", "functional": "GGA-PBE", "state": "relaxed", "cell": [[-6.146, 1.370, 0.123], [-1.579, -7.115, 0.346], [0.335, 0.481, 11.416]], "species": ["Sm", "Ho", "Ho", "Sm", "Sm", "Sm", "Sm", "Dy", "Dy", "Ho", "Sm", "Ho", "Sm", "Ho", "Ho", "Sm"], "fractional_positions": [[0.148, 0.873, 0.500], [0.981, 0.622, 0.250], [0.148, 0.378, 0.500], [0.147, 0.873, 0.000], [0.981, 0.127, 0.750], [0.648, 0.127, 0.000], [0.481, 0.873, 0.750], [0.148, 0.377, 0.000], [0.648, 0.623, 0.500], [0.648, 0.622, 0.000], [0.481, 0.873, 0.250], [0.981, 0.622, 0.750], [0.647, 0.127, 0.500], [0.481, 0.378, 0.750], [0.481, 0.378, 0.250], [0.981, 0.127, 0.250]], "space_group": "No. 31", "magnetic_moment_mub_per_cell": 0.00, "e_above_lowest_polymorph_mev_per_atom": 0, "formation_enthalpy_0k_ev_per_atom": 0.02, "rho_g_cm3": 8.0, "energy_ev_per_cell": -74.1}



No. 5
{"formula": "PaBAs2O8", "functional": "GGA-PBE", "state": "relaxed", "cell": [[-3.066, 2.596, -1.111], [-5.588, -3.450, -0.459], [-2.983, 2.652, 6.609]], "species": ["Pa", "O", "B", "As", "O", "O", "O", "As", "O", "O", "O", "O"], "fractional_positions": [[0.500, 0.500, 0.500], [0.129, 0.066, 0.146], [0.000, 0.000, 0.000], [0.259, 0.311, 0.170], [0.392, 0.459, 0.757], [0.139, 0.310, 0.412], [0.861, 0.690, 0.588], [0.741, 0.689, 0.830], [0.660, 0.066, 0.146], [0.608, 0.541, 0.243], [0.871, 0.934, 0.854], [0.340, 0.934, 0.854]], "space_group": "No. 12", "magnetic_moment_mub_per_cell": 0.00, "rho_g_cm3": 4.5, "formation_energy_uncorrected_mev_per_atom": -1524, "energy_ev_per_cell": -83.4}



No. 6
{"formula": "CaCuSi2Rh", "functional": "GGA-PBE", "state": "relaxed", "cell": [[-2.929, 2.654, 1.075], [-0.271, -1.787, 3.676], [5.064, 2.674, -0.609]], "species": ["Si", "Rh", "Si", "Cu", "Ca"], "fractional_positions": [[0.623, 0.623, 0.246], [0.750, 0.250, 0.500], [0.377, 0.377, 0.754], [0.250, 0.750, 0.500], [0.000, 0.000, 0.000]], "space_group": "No. 119", "magnetic_moment_mub_per_cell": 0.00, "rho_g_cm3": 5.2, "formation_energy_uncorrected_mev_per_atom": -638, "energy_ev_per_cell": -27.5}



No. 7
{"formula": "BaLiAg2Pb", "functional": "GGA-PBE", "state": "relaxed", "cell": [[-2.017, -4.041, 2.432], [4.129, -2.725, -1.103], [1.195, 4.970, 3.838]], "species": ["Ag", "Pb", "Ag", "Ba", "Li"], "fractional_positions": [[0.689, 0.189, 0.377], [0.810, 0.810, 0.621], [0.082, 0.082, 0.164], [0.438, 0.438, 0.876], [0.193, 0.693, 0.386]], "space_group": "No. 44", "magnetic_moment_mub_per_cell": 0.00, "e_above_lowest_polymorph_mev_per_atom": 0, "formation_enthalpy_0k_ev_per_atom": -0.25, "rho_g_cm3": 6.9, "energy_ev_per_cell": -14.5}



No. 8
{"formula": "PaSn2Rh", "functional": "GGA-PBE", "state": "relaxed", "cell": [[3.146, 0.000, 0.000], [1.573, 2.725, 0.000], [1.573, 0.908, 10.763]], "species": ["Sn", "Rh", "Sn", "Pa"], "fractional_positions": [[0.080, 0.080, 0.761], [0.000, 0.000, 0.000], [0.920, 0.920, 0.239], [0.500, 0.500, 0.500]], "space_group": "No. 166", "magnetic_moment_mub_per_cell": 0.00, "e_above_lowest_polymorph_mev_per_atom": 456, "formation_enthalpy_0k_ev_per_atom": 0.13, "rho_g_cm3": 10.3, "energy_ev_per_cell": -24.3}



No. 9
{"formula": "MgSc2Al", "functional": "GGA-PBE", "state": "relaxed", "cell": [[1.843, 0.000, 10.647], [-0.922, 1.596, 10.647], [-0.922, -1.596, 10.647]], "species": ["Sc", "Mg", "Sc", "Al"], "fractional_positions": [[0.903, 0.903, 0.903], [0.000, 0.000, 0.000], [0.097, 0.097, 0.097], [0.500, 0.500, 0.500]], "space_group": "No. 166", "magnetic_moment_mub_per_cell": 0.00, "e_above_lowest_polymorph_mev_per_atom": 371, "formation_enthalpy_0k_ev_per_atom": 0.08, "rho_g_cm3": 2.5, "energy_ev_per_cell": -17.7}



No. 10
{"formula": "Gd2MnIn", "functional": "GGA-PBE", "state": "relaxed", "cell": [[-4.951, 1.542, 0.797], [-3.828, -1.745, -3.134], [-3.545, -3.404, 1.835]], "species": ["Mn", "In", "Gd", "Gd"], "fractional_positions": [[0.500, 0.500, 0.500], [0.000, 0.000, 0.000], [0.250, 0.250, 0.250], [0.750, 0.750, 0.750]], "space_group": "No. 225", "magnetic_moment_mub_per_cell": 10.86, "e_above_lowest_polymorph_mev_per_atom": 9, "formation_enthalpy_0k_ev_per_atom": -0.12, "rho_g_cm3": 7.9, "energy_ev_per_cell": -40.5}



No. 11
{"formula": "TbSeClO3", "functional": "GGA-PBE", "state": "relaxed", "cell": [[-4.434, -0.184, 5.491], [1.789, -7.109, 1.206], [6.567, 2.567, 5.389]], "species": ["O", "Tb", "Tb", "Cl", "O", "O", "Tb", "O", "O", "Cl", "O", "Cl", "Se", "O", "Se", "O", "O", "Se", "O", "O", "Se", "Cl", "Tb", "O"], "fractional_positions": [[0.073, 0.861, 0.432], [0.250, 0.104, 0.540], [0.250, 0.604, 0.960], [0.750, 0.565, 0.317], [0.250, 0.250, 0.321], [0.250, 0.750, 0.179], [0.750, 0.896, 0.460], [0.073, 0.361, 0.068], [0.927, 0.139, 0.568], [0.250, 0.435, 0.683], [0.927, 0.639, 0.932], [0.250, 0.935, 0.817], [0.250, 0.214, 0.132], [0.573, 0.139, 0.568], [0.750, 0.786, 0.868], [0.750, 0.750, 0.679], [0.427, 0.861, 0.432], [0.250, 0.714, 0.368], [0.750, 0.250, 0.821], [0.573, 0.639, 0.932], [0.750, 0.286, 0.632], [0.750, 0.065, 0.183], [0.750, 0.396, 0.040], [0.427, 0.361, 0.068]], "space_group": "No. 62", "magnetic_moment_mub_per_cell": 0.00, "rho_g_cm3": 4.6, "formation_energy_uncorrected_mev_per_atom": -2035, "energy_ev_per_cell": -148.2}



No. 12
{"formula": "Pm6HoIn6", "functional": "GGA-PBE", "state": "relaxed", "cell": [[-5.106, 1.063, 3.653], [-0.741, -1.640, -6.107], [-0.158, -10.628, 2.874]], "species": ["Pm", "In", "Pm", "Pm", "In", "In", "Pm", "Ho", "In", "Pm", "In", "Pm", "In"], "fractional_positions": [[0.000, 0.000, 0.668], [0.500, 0.000, 0.246], [0.667, 0.333, 0.500], [0.333, 0.667, 0.500], [0.000, 0.500, 0.246], [0.000, 0.500, 0.754], [0.333, 0.667, 0.000], [0.000, 0.000, 0.000], [0.500, 0.000, 0.754], [0.000, 0.000, 0.332], [0.500, 0.500, 0.246], [0.667, 0.333, 0.000], [0.500, 0.500, 0.754]], "space_group": "No. 191", "magnetic_moment_mub_per_cell": 1.55, "formation_enthalpy_0k_ev_per_atom": -0.32, "rho_g_cm3": 7.4, "energy_ev_per_cell": -53.7}



No. 13
{"formula": "P2PtPb", "functional": "GGA-PBE", "state": "relaxed", "cell": [[7.338, -0.030, -0.018], [6.504, 3.397, -0.018], [6.504, 1.583, 3.006]], "species": ["P", "Pb", "Pt", "P"], "fractional_positions": [[0.271, 0.271, 0.271], [0.499, 0.499, 0.499], [0.731, 0.731, 0.731], [0.999, 0.999, 0.999]], "space_group": "No. 160", "magnetic_moment_mub_per_cell": 0.00, "formation_enthalpy_0k_ev_per_atom": 0.03, "rho_g_cm3": 10.2, "energy_ev_per_cell": -20.5}



No. 14
{"formula": "Ce6US12", "functional": "GGA-PBE", "state": "relaxed", "cell": [[7.940, -0.040, -1.251], [-1.458, 7.805, -1.251], [-0.033, -0.040, 8.038]], "species": ["S", "S", "S", "Ce", "Ce", "Ce", "S", "Ce", "S", "U", "Ce", "Ce", "S", "S", "S", "S", "S", "S", "S"], "fractional_positions": [[0.583, 0.177, 0.432], [0.935, 0.045, 0.679], [0.065, 0.955, 0.321], [0.307, 0.138, 0.623], [0.623, 0.307, 0.138], [0.862, 0.377, 0.693], [0.417, 0.823, 0.568], [0.138, 0.623, 0.307], [0.823, 0.568, 0.417], [0.000, 0.000, 0.000], [0.377, 0.693, 0.862], [0.693, 0.862, 0.377], [0.045, 0.679, 0.935], [0.568, 0.417, 0.823], [0.432, 0.583, 0.177], [0.679, 0.935, 0.045], [0.321, 0.065, 0.955], [0.955, 0.321, 0.065], [0.177, 0.432, 0.583]], "space_group": "No. 148", "magnetic_moment_mub_per_cell": 6.02, "rho_g_cm3": 4.9, "formation_energy_uncorrected_mev_per_atom": -1868, "energy_ev_per_cell": -131.9}



No. 15
{"formula": "Be2SiBr", "functional": "GGA-PBE", "state": "relaxed", "cell": [[-5.627, 3.246, -0.082], [-6.185, 0.920, 1.762], [0.781, 2.066, 2.842]], "species": ["Si", "Be", "Be", "Br"], "fractional_positions": [[0.290, 0.290, 0.171], [0.742, 0.742, 0.687], [0.921, 0.921, 0.906], [0.547, 0.547, 0.736]], "space_group": "No. 8", "magnetic_moment_mub_per_cell": 0.00, "e_above_lowest_polymorph_mev_per_atom": 19, "rho_g_cm3": 3.1, "formation_energy_uncorrected_mev_per_atom": 310, "energy_ev_per_cell": -13.3}



No. 16
{"formula": "Tm3Te2H", "functional": "GGA-PBE", "state": "relaxed", "cell": [[-2.599, 3.381, -4.111], [4.347, -3.740, -5.823], [-7.334, -2.605, 2.494]], "species": ["Te", "Tm", "H", "Te", "Te", "Tm", "Te", "Tm", "Tm", "Tm", "Tm", "H"], "fractional_positions": [[0.469, 0.801, 0.484], [0.468, 0.381, 0.105], [0.109, 0.836, 0.836], [0.969, 0.516, 0.199], [0.969, 0.199, 0.516], [0.975, 0.103, 0.103], [0.469, 0.484, 0.801], [0.968, 0.895, 0.619], [0.475, 0.897, 0.897], [0.968, 0.619, 0.895], [0.468, 0.105, 0.381], [0.609, 0.164, 0.164]], "space_group": "No. 36", "magnetic_moment_mub_per_cell": 0.00, "rho_g_cm3": 7.7, "energy_ev_per_cell": -55.4}



No. 17
{"formula": "KSr2ReOs", "functional": "GGA-PBE", "state": "relaxed", "cell": [[5.651, 0.000, 0.000], [0.000, 4.613, 0.000], [0.000, 0.000, 5.651]], "species": ["Re", "Sr", "K", "Sr", "Os"], "fractional_positions": [[0.500, 0.500, 0.500], [0.500, 0.000, 0.000], [0.000, 0.000, 0.000], [0.000, 0.000, 0.500], [0.000, 0.500, 0.000]], "space_group": "No. 123", "magnetic_moment_mub_per_cell": 3.19, "formation_enthalpy_0k_ev_per_atom": 2.45, "rho_g_cm3": 6.7, "energy_ev_per_cell": -15.9}



No. 18
{"formula": "FeSn3P", "functional": "GGA-PBE", "state": "relaxed", "cell": [[5.136, 0.000, 0.000], [0.000, 5.136, 0.000], [0.000, 0.000, 5.136]], "species": ["Sn", "Sn", "P", "Fe", "Sn"], "fractional_positions": [[0.500, 0.000, 0.000], [0.000, 0.000, 0.500], [0.000, 0.000, 0.000], [0.500, 0.500, 0.500], [0.000, 0.500, 0.000]], "space_group": "No. 221", "magnetic_moment_mub_per_cell": 0.03, "e_above_lowest_polymorph_mev_per_atom": 877, "formation_enthalpy_0k_ev_per_atom": 1.21, "rho_g_cm3": 5.4, "energy_ev_per_cell": -19.8}



No. 19
{"formula": "Zr3BiH", "functional": "GGA-PBE", "state": "relaxed", "cell": [[6.311, 0.023, -0.026], [3.355, 5.618, -0.024], [1.012, -0.565, 5.420]], "species": ["H", "Zr", "Bi", "Zr", "Zr", "Bi", "H", "Zr", "Zr", "Zr"], "fractional_positions": [[0.247, 0.345, 0.294], [0.085, 0.176, 0.498], [0.061, 0.938, 0.000], [0.581, 0.434, 0.918], [0.581, 0.924, 0.917], [0.600, 0.669, 0.412], [0.447, 0.246, 0.788], [0.084, 0.426, 0.983], [0.086, 0.674, 0.499], [0.582, 0.178, 0.424]], "space_group": "No. 1", "magnetic_moment_mub_per_cell": 0.00, "e_above_lowest_polymorph_mev_per_atom": 27, "rho_g_cm3": 8.4, "energy_ev_per_cell": -68.9}



No. 20
{"formula": "Ce4S3Cl", "functional": "GGA-PBE", "state": "relaxed", "cell": [[-1.209, 2.002, 3.275], [-4.384, -5.177, 1.547], [3.232, -4.654, 4.038]], "species": ["Ce", "S", "Ce", "Cl", "S", "S", "Ce", "Ce"], "fractional_positions": [[0.000, 0.758, 0.742], [0.000, 0.500, 0.500], [0.000, 0.242, 0.258], [0.500, 0.500, 0.000], [0.000, 0.000, 0.000], [0.500, 0.000, 0.500], [0.500, 0.754, 0.254], [0.500, 0.246, 0.746]], "space_group": "No. 65", "magnetic_moment_mub_per_cell": 2.38, "rho_g_cm3": 6.3, "formation_energy_uncorrected_mev_per_atom": -1895, "energy_ev_per_cell": -53.1}